# ZrHgSb2

A geometry-optimized ZrHgSb2 structure (PBE, the Alexandria database).

The formation energy without anion corrections comes out at -0.110 eV/atom. As for the total energy: -35.067 eV/cell. For the magnetic moment, the calculation gives 0.0 μB/cell. The crystal system is orthorhombic.

The structure belongs to space group Imm2 (No. 44); the cell edges are 4.272, 4.329 and 10.432 Å and the angles 90.00°, 90.00° and 90.00°. The distinct sites, in fractional coordinates, are Zr at (0.000, 0.000, 0.000), Hg at (0.000, 0.500, 0.748), Sb at (0.000, 0.000, 0.499) and Sb at (0.000, 0.500, 0.253).